Here is crystalline AcTlAu2O8 at its relaxed geometry from the Alexandria database. Energies are from PBE-GGA.

Results
The value obtained for the formation energy without anion corrections is -0.453 eV/atom.

Unit cell a=7.5679 b=7.5679 c=7.1329 alpha=90.00 beta=90.00 gamma=90.00
Space group I-4m2 (No. 119)
Inequivalent atoms, fractional coordinates:
Ac1 0.0000 0.0000 0.0000 (multiplicity 2)
Tl1 0.0000 0.5000 0.2500 (multiplicity 2)
Au1 0.0000 0.0000 0.5000 (multiplicity 2)
Au2 0.0000 0.5000 0.7500 (multiplicity 2)
O1 0.0000 0.1756 0.2961 (multiplicity 8)
O2 0.0000 0.3366 0.9639 (multiplicity 8)